Entry 1:
# LaAlCu4 (PBEsol, optimized geometry)
data_LaAlCu4
_chemical_formula_sum 'La1 Al1 Cu4'
_symmetry_space_group_name_H-M 'P -6 m 2'
_symmetry_Int_Tables_number 187
_symmetry_space_group_name_Hall 'P -6 2'
_cell_length_a 5.2572
_cell_length_b 5.2572
_cell_length_c 3.9743
_cell_angle_alpha 90.00
_cell_angle_beta 90.00
_cell_angle_gamma 120.00
loop_
_atom_site_label
_atom_site_fract_x
_atom_site_fract_y
_atom_site_fract_z
_atom_site_occupancy
La1 0.0000 0.0000 0.0000 1
Al1 0.3333 0.6667 0.0000 1
Cu1 0.5018 0.0036 0.5000 1
Cu2 0.6667 0.3333 0.0000 1
# Raw total energy = -4.661 eV per atom
# Crystal system = hexagonal


Entry 2:
# Zr2ScZn2 (PBEsol, optimized geometry)
data_Zr2ScZn2
_chemical_formula_sum 'Zr4 Sc2 Zn4'
_symmetry_space_group_name_H-M 'P 4/m b m'
_symmetry_Int_Tables_number 127
_symmetry_space_group_name_Hall '-P 4 2ab'
_cell_length_a 7.5603
_cell_length_b 7.5603
_cell_length_c 3.3529
_cell_angle_alpha 90.00
_cell_angle_beta 90.00
_cell_angle_gamma 90.00
loop_
_atom_site_label
_atom_site_fract_x
_atom_site_fract_y
_atom_site_fract_z
_atom_site_occupancy
Zr1 0.1718 0.3282 0.0000 1
Sc1 0.0000 0.0000 0.5000 1
Zn1 0.1246 0.6246 0.5000 1
# Raw total energy = -5.777 eV per atom
# Crystal system = tetragonal


Entry 3:
# TiPbS2 (PBEsol, optimized geometry)
data_TiPbS2
_chemical_formula_sum 'Ti4 Pb4 S8'
_symmetry_space_group_name_H-M 'I -4 2 d'
_symmetry_Int_Tables_number 122
_symmetry_space_group_name_Hall 'I -4 2bw'
_cell_length_a 6.3082
_cell_length_b 6.3082
_cell_length_c 10.3521
_cell_angle_alpha 90.00
_cell_angle_beta 90.00
_cell_angle_gamma 90.00
loop_
_atom_site_label
_atom_site_fract_x
_atom_site_fract_y
_atom_site_fract_z
_atom_site_occupancy
Ti1 0.0000 0.0000 0.0000 1
Pb1 0.0000 0.0000 0.5000 1
S1 0.1737 0.2500 0.1250 1
# Raw total energy = -5.883 eV per atom
# Crystal system = tetragonal


Entry 4:
# TaBe2Re (PBEsol, optimized geometry)
data_TaBe2Re
_chemical_formula_sum 'Ta1 Be2 Re1'
_symmetry_space_group_name_H-M 'P 4/m m m'
_symmetry_Int_Tables_number 123
_symmetry_space_group_name_Hall '-P 4 2'
_cell_length_a 3.8277
_cell_length_b 3.8277
_cell_length_c 3.3287
_cell_angle_alpha 90.00
_cell_angle_beta 90.00
_cell_angle_gamma 90.00
loop_
_atom_site_label
_atom_site_fract_x
_atom_site_fract_y
_atom_site_fract_z
_atom_site_occupancy
Ta1 0.0000 0.0000 0.0000 1
Be1 0.0000 0.5000 0.5000 1
Re1 0.5000 0.5000 0.0000 1
# Excess energy over the best structure of this formula in the dataset = 0.424 eV per atom
# Crystal system = tetragonal


Entry 5:
# MnFe4Ir (PBEsol, optimized geometry)
data_MnFe4Ir
_chemical_formula_sum 'Mn4 Fe16 Ir4'
_symmetry_space_group_name_H-M 'F -4 3 m'
_symmetry_Int_Tables_number 216
_symmetry_space_group_name_Hall 'F -4 2 3'
_cell_length_a 6.5130
_cell_length_b 6.5130
_cell_length_c 6.5130
_cell_angle_alpha 90.00
_cell_angle_beta 90.00
_cell_angle_gamma 90.00
loop_
_atom_site_label
_atom_site_fract_x
_atom_site_fract_y
_atom_site_fract_z
_atom_site_occupancy
Mn1 0.0000 0.0000 0.0000 1
Fe1 0.1249 0.1249 0.6249 1
Ir1 0.2500 0.2500 0.2500 1
# Raw total energy = -9.203 eV per atom
# Crystal system = cubic


Entry 6:
# OsPt3 (PBEsol, optimized geometry)
data_OsPt3
_chemical_formula_sum 'Os1 Pt3'
_symmetry_space_group_name_H-M 'P 4/m m m'
_symmetry_Int_Tables_number 123
_symmetry_space_group_name_Hall '-P 4 2'
_cell_length_a 2.7423
_cell_length_b 2.7423
_cell_length_c 7.8185
_cell_angle_alpha 90.00
_cell_angle_beta 90.00
_cell_angle_gamma 90.00
loop_
_atom_site_label
_atom_site_fract_x
_atom_site_fract_y
_atom_site_fract_z
_atom_site_occupancy
Os1 0.0000 0.0000 0.0000 1
Pt1 0.0000 0.0000 0.5000 1
Pt2 0.5000 0.5000 0.2387 1
# Raw total energy = -8.234 eV per atom
# Crystal system = tetragonal


Entry 7:
# YAl2Fe (PBEsol, optimized geometry)
data_YAl2Fe
_chemical_formula_sum 'Y3 Al6 Fe3'
_symmetry_space_group_name_H-M 'R 3 m'
_symmetry_Int_Tables_number 160
_symmetry_space_group_name_Hall 'R 3 -2"'
_cell_length_a 4.1863
_cell_length_b 4.1863
_cell_length_c 14.5780
_cell_angle_alpha 90.00
_cell_angle_beta 90.00
_cell_angle_gamma 120.00
loop_
_atom_site_label
_atom_site_fract_x
_atom_site_fract_y
_atom_site_fract_z
_atom_site_occupancy
Y1 0.0000 0.0000 0.0000 1
Al1 0.0000 0.0000 0.5320 1
Al2 0.0000 0.0000 0.7984 1
Fe1 0.0000 0.0000 0.1873 1
# Raw total energy = -6.212 eV per atom
# Crystal system = trigonal


Entry 8:
# Mg2ScSi (PBEsol, optimized geometry)
data_Mg2ScSi
_chemical_formula_sum 'Mg2 Sc1 Si1'
_symmetry_space_group_name_H-M 'P m m m'
_symmetry_Int_Tables_number 47
_cell_length_a 3.2573
_cell_length_b 4.1272
_cell_length_c 5.8418
_cell_angle_alpha 90.00
_cell_angle_beta 90.00
_cell_angle_gamma 90.00
loop_
_symmetry_equiv_pos_as_xyz
'x,y,z'
'-x,-y,-z'
'-x,-y,z'
'x,y,-z'
'x,-y,-z'
'-x,y,z'
'-x,y,-z'
'x,-y,z'
loop_
_atom_site_label
_atom_site_fract_x
_atom_site_fract_y
_atom_site_fract_z
_atom_site_occupancy
Mg1 0.0000 0.0000 0.2371 1
Sc1 0.5000 0.5000 0.5000 1
Si1 0.5000 0.5000 0.0000 1
# Raw total energy = -3.974 eV per atom
# Crystal system = orthorhombic


Let's list magnetic moment in order: 0.000 0.000 0.280 0.000 0.845 0.000 0.000 0.000 μB/atom.